[1]
The following is a PBE calculation of a geometry-optimized CuAg structure, from OQMD.

* formation enthalpy at 0 K: 34 meV/atom

Unit cell a=2.8764 b=2.8773 c=21.4933 alpha=89.97 beta=89.96 gamma=89.99
Last column: nearest neighbours and their distance in Å.
Atoms (fractional coordinates):
Cu (0.0000, 0.0000, 0.0000)  8 Cu 2.50
Cu (0.0009, 0.0027, 0.8649)  4 Cu 2.50, 4 Ag 2.72-2.73
Cu (0.4933, 0.4974, 0.2029)  4 Cu 2.50, 4 Ag 2.72-2.74
Cu (0.4984, 0.4988, 0.0677)  8 Cu 2.49-2.50
Cu (0.5009, 0.5015, 0.9324)  8 Cu 2.50
Cu (0.9961, 0.9978, 0.1352)  8 Cu 2.49-2.50
Ag (0.4829, 0.5004, 0.3865)  12 Ag 2.88-2.95
Ag (0.4854, 0.5053, 0.5832)  12 Ag 2.88-2.94
Ag (0.4986, 0.5045, 0.7803)  4 Cu 2.72-2.73, 8 Ag 2.88-2.95
Ag (0.9814, 0.0028, 0.4849)  12 Ag 2.88-2.94
Ag (0.9882, 0.9977, 0.2876)  4 Cu 2.72-2.74, 8 Ag 2.88-2.95
Ag (0.9913, 0.0055, 0.6815)  12 Ag 2.88-2.95

=====

[2]
The following is a PBE calculation of a geometry-optimized Cu4Ag5 structure, from OQMD.

* E above lowest polymorph: 34.3 meV per atom
* formation enthalpy at 0 K: 72 meV/atom

Unit cell a=17.0748 b=17.0748 c=17.0748 alpha=170.45 beta=170.45 gamma=13.52
Last column: nearest neighbours and their distance in Å.
Atoms (fractional coordinates):
Cu (0.0000, 0.0000, 0.0000)  8 Ag 2.73-2.75, 4 Cu 2.84
Cu (0.1099, 0.1099, 0.0000)  4 Cu 2.50, 4 Ag 2.74
Cu (0.3273, 0.3273, 0.0000)  8 Ag 2.72-2.73, 4 Cu 2.84
Cu (0.6536, 0.6536, 0.0000)  4 Cu 2.50, 4 Ag 2.73
Ag (0.2081, 0.2081, 0.0000)  4 Cu 2.73, 8 Ag 2.84-2.97
Ag (0.4454, 0.4454, 0.0000)  4 Cu 2.73, 8 Ag 2.84-2.96
Ag (0.5552, 0.5552, 0.0000)  8 Cu 2.74-2.75, 4 Ag 2.84
Ag (0.7727, 0.7727, 0.0000)  4 Cu 2.73, 8 Ag 2.84-2.97
Ag (0.8814, 0.8814, 0.0000)  4 Cu 2.72, 8 Ag 2.84-2.96

=====

[3]
The following is a PBE calculation of a geometry-optimized Cu4Ag5 structure, from OQMD.

* E above lowest polymorph: 63.2 meV per atom
* formation enthalpy at 0 K: 101 meV/atom

Unit cell a=4.8730 b=4.8730 c=6.7262 alpha=90.00 beta=90.00 gamma=120.00
Last column: nearest neighbours and their distance in Å.
Atoms (fractional coordinates):
Cu (0.0000, 0.0000, 0.0000)  3 Cu 2.59, 6 Ag 2.81
Cu (0.0000, 0.3184, 0.6911)  7 Cu 2.59-2.88, 5 Ag 2.69-2.79
Cu (0.3184, 0.0000, 0.6911)  7 Cu 2.59-2.88, 5 Ag 2.69-2.79
Cu (0.6816, 0.6816, 0.6911)  7 Cu 2.59-2.88, 5 Ag 2.69-2.79
Ag (0.0000, 0.6686, 0.3632)  4 Cu 2.72-2.93, 8 Ag 2.80-2.91
Ag (0.3314, 0.3314, 0.3632)  4 Cu 2.72-2.93, 8 Ag 2.80-2.91
Ag (0.3333, 0.6667, 0.0052)  6 Cu 2.69-2.81, 6 Ag 2.81-2.91
Ag (0.6667, 0.3333, 0.0052)  6 Cu 2.69-2.81, 6 Ag 2.81-2.91
Ag (0.6686, 0.0000, 0.3632)  4 Cu 2.72-2.93, 8 Ag 2.80-2.91

=====

[4]
The following is a PBE calculation of a geometry-optimized CuAg structure, from OQMD.

* formation enthalpy at 0 K: 89 meV/atom

Unit cell a=6.7184 b=2.7852 c=8.1702 alpha=90.00 beta=104.64 gamma=90.00
Last column: nearest neighbours and their distance in Å.
Atoms (fractional coordinates):
Cu (0.0000, 0.0000, 0.0000)  4 Ag 2.62, 8 Cu 2.68-2.81
Cu (0.3011, 0.5000, 0.9177)  9 Cu 2.50-2.79, 2 Ag 2.75
Cu (0.4163, 0.0000, 0.1785)  6 Cu 2.50-2.79, 3 Ag 2.69-2.75
Cu (0.5837, 0.0000, 0.8215)  6 Cu 2.50-2.79, 3 Ag 2.69-2.75
Cu (0.6989, 0.5000, 0.0823)  9 Cu 2.50-2.79, 2 Ag 2.75
Ag (0.1163, 0.5000, 0.2800)  5 Cu 2.62-2.86, 5 Ag 2.74-2.83
Ag (0.1991, 0.0000, 0.6184)  3 Cu 2.69-2.75, 7 Ag 2.79-2.88
Ag (0.5000, 0.5000, 0.5000)  8 Ag 2.74-2.82, 4 Cu 2.90
Ag (0.8009, 0.0000, 0.3816)  3 Cu 2.69-2.75, 7 Ag 2.79-2.88
Ag (0.8837, 0.5000, 0.7200)  5 Cu 2.62-2.86, 5 Ag 2.74-2.83

=====

[5]
The following is a PBE calculation of a geometry-optimized Cu3Ag7 structure, from OQMD.

* E above lowest polymorph: 51.0 meV per atom
* formation enthalpy at 0 K: 80 meV/atom

Unit cell a=4.8928 b=2.8816 c=11.6007 alpha=90.00 beta=95.96 gamma=90.00
Last column: nearest neighbours and their distance in Å.
Atoms (fractional coordinates):
Cu (0.0000, 0.0000, 0.0000)  10 Ag 2.78-2.93, 2 Cu 2.88
Cu (0.3024, 0.5000, 0.4027)  9 Ag 2.72-2.92, 3 Cu 2.82-2.88
Cu (0.6976, 0.5000, 0.5973)  9 Ag 2.72-2.92, 3 Cu 2.82-2.88
Ag (0.0965, 0.5000, 0.8028)  3 Cu 2.78-2.92, 9 Ag 2.80-2.92
Ag (0.2058, 0.0000, 0.5934)  6 Cu 2.72-2.88, 6 Ag 2.80-2.92
Ag (0.3972, 0.0000, 0.2077)  3 Cu 2.76-2.93, 9 Ag 2.80-2.90
Ag (0.5000, 0.5000, 0.0000)  4 Cu 2.84, 8 Ag 2.86-2.90
Ag (0.6028, 0.0000, 0.7923)  3 Cu 2.76-2.93, 9 Ag 2.80-2.90
Ag (0.7942, 0.0000, 0.4066)  6 Cu 2.72-2.88, 6 Ag 2.80-2.92
Ag (0.9035, 0.5000, 0.1972)  3 Cu 2.78-2.92, 9 Ag 2.80-2.92

=====

[6]
The following is a PBE calculation of a geometry-optimized Cu3Ag2 structure, from OQMD.

* E above lowest polymorph: 48.1 meV per atom
* formation enthalpy at 0 K: 90 meV/atom

Unit cell a=7.2575 b=7.2575 c=7.5074 alpha=104.98 beta=104.98 gamma=21.98
Last column: nearest neighbours and their distance in Å.
Atoms (fractional coordinates):
Cu (0.0000, 0.0000, 0.0000)  6 Cu 2.60-2.77, 4 Ag 2.70-2.87
Cu (0.0006, 0.0006, 0.4556)  8 Cu 2.49-2.77, 4 Ag 2.73
Cu (0.2012, 0.2012, 0.5458)  7 Cu 2.55-2.77, 3 Ag 2.78-2.79
Cu (0.4036, 0.4036, 0.1895)  9 Cu 2.52-2.77, 2 Ag 2.75
Cu (0.5935, 0.5935, 0.2847)  9 Cu 2.49-2.77, 2 Ag 2.67
Cu (0.8054, 0.8054, 0.3751)  7 Cu 2.60-2.77, 4 Ag 2.64-2.65
Ag (0.1964, 0.1964, 0.0967)  6 Cu 2.64-2.85, 6 Ag 2.77-2.89
Ag (0.4039, 0.4039, 0.6663)  7 Cu 2.65-2.87, 5 Ag 2.72-2.79
Ag (0.6018, 0.6018, 0.7600)  6 Ag 2.72-2.89, 6 Cu 2.73-2.94
Ag (0.8037, 0.8037, 0.8815)  5 Cu 2.70-2.91, 7 Ag 2.77-2.86

=====

[7]
The following is a PBE calculation of a geometry-optimized CuAg structure, from OQMD.

* formation enthalpy at 0 K: 83 meV/atom

Unit cell a=4.9326 b=4.9326 c=11.1657 alpha=96.87 beta=96.87 gamma=33.56
Last column: nearest neighbours and their distance in Å.
Atoms (fractional coordinates):
Cu (0.0000, 0.0000, 0.0000)  4 Cu 2.49-2.52, 4 Ag 2.68-2.73
Cu (0.5035, 0.5035, 0.4722)  4 Cu 2.56-2.85, 6 Ag 2.75-2.83
Cu (0.5815, 0.5815, 0.1784)  4 Cu 2.49-2.53, 5 Ag 2.67-2.78
Cu (0.6702, 0.6702, 0.8983)  2 Cu 2.52, 7 Ag 2.72-2.80
Cu (0.9170, 0.9170, 0.2872)  4 Cu 2.53-2.56, 5 Ag 2.70-2.75
Ag (0.0900, 0.0900, 0.6881)  4 Cu 2.77-2.83, 8 Ag 2.81-2.92
Ag (0.2042, 0.2042, 0.3660)  8 Cu 2.67-2.93, 4 Ag 2.84-2.85
Ag (0.2924, 0.2924, 0.0920)  10 Cu 2.72-2.82, 2 Ag 2.85
Ag (0.3793, 0.3793, 0.8104)  5 Cu 2.68-2.80, 7 Ag 2.85-2.95
Ag (0.8045, 0.8045, 0.5797)  3 Cu 2.75-2.95, 9 Ag 2.81-2.95

=====

[8]
The following is a PBE calculation of a geometry-optimized Cu4Ag3 structure, from OQMD.

* E above lowest polymorph: 40.3 meV per atom
* formation enthalpy at 0 K: 89 meV/atom

Unit cell a=10.3600 b=10.3600 c=10.3600 alpha=164.52 beta=159.99 gamma=25.40
Last column: nearest neighbours and their distance in Å.
Atoms (fractional coordinates):
Cu (0.0729, 0.0729, 0.0000)  6 Cu 2.58-2.79, 5 Ag 2.71
Cu (0.3667, 0.3667, 0.0000)  6 Cu 2.58-2.79, 5 Ag 2.69-2.72
Cu (0.6333, 0.6333, 0.0000)  6 Cu 2.58-2.79, 5 Ag 2.69-2.72
Cu (0.9271, 0.9271, 0.0000)  6 Cu 2.58-2.79, 5 Ag 2.71
Ag (0.2068, 0.2068, 0.0000)  5 Cu 2.71-2.72, 6 Ag 2.79-2.87
Ag (0.5000, 0.5000, 0.0000)  10 Cu 2.69-2.71, 2 Ag 2.79
Ag (0.7932, 0.7932, 0.0000)  5 Cu 2.71-2.72, 6 Ag 2.79-2.87

=====

[9]
The following is a PBE calculation of a geometry-optimized Cu4Ag5 structure, from OQMD.

* E above lowest polymorph: 62.6 meV per atom
* formation enthalpy at 0 K: 100 meV/atom

Unit cell a=2.8218 b=2.8218 c=20.0997 alpha=90.00 beta=90.00 gamma=120.00
Last column: nearest neighbours and their distance in Å.
Atoms (fractional coordinates):
Cu (0.3333, 0.6667, 0.0479)  9 Cu 2.52-2.82, 3 Ag 2.76
Cu (0.3333, 0.6667, 0.7318)  6 Ag 2.73-2.74, 6 Cu 2.82
Cu (0.6667, 0.3333, 0.2682)  6 Ag 2.73-2.74, 6 Cu 2.82
Cu (0.6667, 0.3333, 0.9521)  9 Cu 2.52-2.82, 3 Ag 2.76
Ag (0.0000, 0.0000, 0.1587)  6 Cu 2.74-2.76, 6 Ag 2.82
Ag (0.0000, 0.0000, 0.5000)  12 Ag 2.82-2.96
Ag (0.0000, 0.0000, 0.8413)  6 Cu 2.74-2.76, 6 Ag 2.82
Ag (0.3333, 0.6667, 0.3771)  3 Cu 2.73, 9 Ag 2.82-2.96
Ag (0.6667, 0.3333, 0.6229)  3 Cu 2.73, 9 Ag 2.82-2.96

=====

[10]
The following is a PBE calculation of a geometry-optimized Cu4Ag5 structure, from OQMD.

* E above lowest polymorph: 44.4 meV per atom
* formation enthalpy at 0 K: 82 meV/atom

Unit cell a=6.0111 b=6.0111 c=8.6317 alpha=103.72 beta=103.72 gamma=27.03
Last column: nearest neighbours and their distance in Å.
Atoms (fractional coordinates):
Cu (0.1732, 0.1732, 0.2010)  5 Cu 2.57-2.81, 6 Ag 2.69-2.79
Cu (0.1750, 0.1750, 0.8985)  7 Cu 2.57-2.81, 5 Ag 2.78-2.88
Cu (0.8250, 0.8250, 0.1015)  7 Cu 2.57-2.81, 5 Ag 2.78-2.88
Cu (0.8268, 0.8268, 0.7990)  5 Cu 2.57-2.81, 6 Ag 2.69-2.79
Ag (0.1732, 0.1732, 0.5753)  3 Cu 2.69-2.78, 8 Ag 2.81-2.89
Ag (0.4907, 0.4907, 0.6762)  8 Ag 2.77-3.10, 4 Cu 2.79-2.88
Ag (0.5000, 0.5000, 0.0000)  8 Cu 2.71-2.79, 4 Ag 2.77-2.81
Ag (0.5093, 0.5093, 0.3238)  8 Ag 2.77-3.10, 4 Cu 2.79-2.88
Ag (0.8268, 0.8268, 0.4247)  3 Cu 2.69-2.78, 8 Ag 2.81-2.89